Al4ZnNi | Alexandria | PBE-GGA | optimized geometry; energy of formation from the pure elements = -234 meV/atom
1.0
4.172 -4.143 0.000
4.172 4.143 0.000
-4.160 0.000 5.703
Al Zn Ni
8 2 2
Direct
0.001 0.232 0.002
0.230 0.499 0.498
0.232 0.001 0.502
0.499 0.230 0.998
0.501 0.770 0.002
0.768 0.999 0.498
0.770 0.501 0.502
0.999 0.768 0.998
0.375 0.625 0.250
0.625 0.375 0.750
0.125 0.875 0.750
0.875 0.125 0.250